[1]
A plane-wave DFT calculation with PBE was carried out for a relaxed Pm8SiSe4S3 crystal.

Geometry as CIF:
```
data_Pm8SiSe4S3
_chemical_formula_sum 'Pm24 Si3 Se12 S9'
_symmetry_space_group_name_H-M 'R -3 m'
_symmetry_Int_Tables_number 166
_symmetry_space_group_name_Hall '-R 3 2"'
_cell_length_a 8.2354
_cell_length_b 8.2354
_cell_length_c 20.6483
_cell_angle_alpha 90.00
_cell_angle_beta 90.00
_cell_angle_gamma 120.00
loop_
_atom_site_label
_atom_site_type_symbol
_atom_site_fract_x
_atom_site_fract_y
_atom_site_fract_z
Pm1 Pm 0.0000 0.0000 0.2424
Pm2 Pm 0.0009 0.5005 0.2436
Si1 Si 0.0000 0.0000 0.5000
Se1 Se 0.0000 0.0000 0.0000
Se2 Se 0.0000 0.5000 0.0000
S1 S 0.0000 0.5000 0.5000
```

Values from the calculation:
As for the crystal system: trigonal. For the total energy, the calculation gives -0.2268 hartree per atom.



[2]
A plane-wave DFT calculation with PBE was carried out for a relaxed Pm6Si2Se3S crystal.

Geometry as CIF:
```
data_Pm6Si2Se3S
_chemical_formula_sum 'Pm12 Si4 Se6 S2'
_symmetry_space_group_name_H-M 'C 1 2/m 1'
_symmetry_Int_Tables_number 12
_cell_length_a 18.364
_cell_length_b 4.189
_cell_length_c 8.430
_cell_angle_alpha 90.00
_cell_angle_beta 103.97
_cell_angle_gamma 90.00
loop_
_symmetry_equiv_pos_as_xyz
'x,y,z'
'-x,-y,-z'
'-x,y,-z'
'x,-y,z'
'x+1/2,y+1/2,z'
'-x+1/2,-y+1/2,-z'
'-x+1/2,y+1/2,-z'
'x+1/2,-y+1/2,z'
loop_
_atom_site_label
_atom_site_type_symbol
_atom_site_fract_x
_atom_site_fract_y
_atom_site_fract_z
Pm1 Pm 0.005 0.000 0.244
Pm2 Pm 0.164 0.500 0.093
Pm3 Pm 0.169 0.500 0.577
Si1 Si 0.166 0.000 0.331
Se1 Se 0.000 0.500 0.500
Se2 Se 0.166 0.000 0.835
S1 S 0.000 0.500 0.000
```

Values from the calculation:
As for the crystal system: monoclinic. For the total energy, the calculation gives -0.2222 hartree per atom.



[3]
A plane-wave DFT calculation with PBE was carried out for a relaxed Pm6SiSe3S2 crystal.

Geometry as CIF:
```
data_Pm6SiSe3S2
_chemical_formula_sum 'Pm12 Si2 Se6 S4'
_symmetry_space_group_name_H-M 'C 1 2/m 1'
_symmetry_Int_Tables_number 12
_cell_length_a 18.226
_cell_length_b 4.134
_cell_length_c 8.359
_cell_angle_alpha 90.00
_cell_angle_beta 104.37
_cell_angle_gamma 90.00
loop_
_symmetry_equiv_pos_as_xyz
'x,y,z'
'-x,-y,-z'
'-x,y,-z'
'x,-y,z'
'x+1/2,y+1/2,z'
'-x+1/2,-y+1/2,-z'
'-x+1/2,y+1/2,-z'
'x+1/2,-y+1/2,z'
loop_
_atom_site_label
_atom_site_type_symbol
_atom_site_fract_x
_atom_site_fract_y
_atom_site_fract_z
Pm1 Pm 0.003 0.000 0.242
Pm2 Pm 0.162 0.500 0.092
Pm3 Pm 0.170 0.500 0.571
Si1 Si 0.000 0.500 0.000
Se1 Se 0.000 0.500 0.500
Se2 Se 0.167 0.000 0.831
S1 S 0.168 0.000 0.334
```

Values from the calculation:
As for the crystal system: monoclinic. For the total energy, the calculation gives -0.2258 hartree per atom.



[4]
A plane-wave DFT calculation with PBE was carried out for a relaxed PmSm2Se2S2 crystal.

Geometry as CIF:
```
data_PmSm2Se2S2
_chemical_formula_sum 'Pm2 Sm4 Se4 S4'
_symmetry_space_group_name_H-M 'I 4/m m m'
_symmetry_Int_Tables_number 139
_symmetry_space_group_name_Hall '-I 4 2'
_cell_length_a 5.225
_cell_length_b 5.225
_cell_length_c 14.750
_cell_angle_alpha 90.00
_cell_angle_beta 90.00
_cell_angle_gamma 90.00
loop_
_atom_site_label
_atom_site_type_symbol
_atom_site_fract_x
_atom_site_fract_y
_atom_site_fract_z
Pm1 Pm 0.000 0.000 0.000
Sm1 Sm 0.000 0.000 0.380
Se1 Se 0.000 0.000 0.192
S1 S 0.000 0.500 0.000
```

Values from the calculation:
As for the crystal system: tetragonal. For the total energy, the calculation gives -0.2087 hartree per atom.



[5]
A plane-wave DFT calculation with PBE was carried out for a relaxed Pm2Sm2Se2S3 crystal.

Geometry as CIF:
```
data_Pm2Sm2Se2S3
_chemical_formula_sum 'Pm4 Sm4 Se4 S6'
_symmetry_space_group_name_H-M 'I 4/m m m'
_symmetry_Int_Tables_number 139
_symmetry_space_group_name_Hall '-I 4 2'
_cell_length_a 5.487
_cell_length_b 5.487
_cell_length_c 14.861
_cell_angle_alpha 90.00
_cell_angle_beta 90.00
_cell_angle_gamma 90.00
loop_
_atom_site_label
_atom_site_type_symbol
_atom_site_fract_x
_atom_site_fract_y
_atom_site_fract_z
Pm1 Pm 0.000 0.000 0.203
Sm1 Sm 0.000 0.500 0.000
Se1 Se 0.000 0.000 0.398
S1 S 0.000 0.000 0.000
S2 S 0.000 0.500 0.250
```

Values from the calculation:
As for the crystal system: tetragonal. For the total energy, the calculation gives -0.2197 hartree per atom.



[6]
A plane-wave DFT calculation with PBE was carried out for a relaxed Pm2Sm2Se3S2 crystal.

Geometry as CIF:
```
data_Pm2Sm2Se3S2
_chemical_formula_sum 'Pm4 Sm4 Se6 S4'
_symmetry_space_group_name_H-M 'I 4/m m m'
_symmetry_Int_Tables_number 139
_symmetry_space_group_name_Hall '-I 4 2'
_cell_length_a 5.713
_cell_length_b 5.713
_cell_length_c 14.273
_cell_angle_alpha 90.00
_cell_angle_beta 90.00
_cell_angle_gamma 90.00
loop_
_atom_site_label
_atom_site_type_symbol
_atom_site_fract_x
_atom_site_fract_y
_atom_site_fract_z
Pm1 Pm 0.000 0.500 0.000
Sm1 Sm 0.000 0.000 0.215
Se1 Se 0.000 0.000 0.000
Se2 Se 0.000 0.500 0.250
S1 S 0.000 0.000 0.402
```

Values from the calculation:
As for the crystal system: tetragonal. For the total energy, the calculation gives -0.2140 hartree per atom.